(1)
Entry from the Alexandria database: a relaxed Ba2MgAgPb crystal (PBE).

Properties
For the density of states at the Fermi level, the calculation gives 0.87 states/eV per atom. The space group is No. 123. The energy relative to the elements comes out at 0.05 eV/atom.

Lattice parameters (Å, degrees): 6.791 5.331 6.791 90.00 90.00 90.00
Atoms (fractional coordinates):
Ag: 0.500 0.500 0.500
Pb: 0.000 0.000 0.000
Ba: 0.500 0.000 0.000
Ba: 0.000 0.000 0.500
Mg: 0.000 0.500 0.000

***

(2)
Entry from the Alexandria database: a relaxed Rb2TaSiPd crystal (PBE).

Properties
For the density of states at the Fermi level, the calculation gives 1.00 states/eV per atom. The space group is No. 123. The value obtained for the energy relative to the elements, uncorrected is 1.398 eV per atom.

Lattice parameters (Å, degrees): 6.653 4.896 6.653 90.00 90.00 90.00
Atoms (fractional coordinates):
Rb: 0.000 0.000 0.500
Rb: 0.500 0.000 0.000
Ta: 0.000 0.000 0.000
Pd: 0.500 0.500 0.500
Si: 0.000 0.500 0.000

***

(3)
Entry from the Alexandria database: a relaxed Cs3CuPt crystal (PBE).

Properties
For the density of states at the Fermi level, the calculation gives 0.00 states/eV per atom. The space group is No. 221. The energy relative to the elements comes out at 0.23 eV/atom.

Lattice parameters (Å, degrees): 6.618 6.618 6.618 90.00 90.00 90.00
Atoms (fractional coordinates):
Cs: 0.500 0.000 0.000
Pt: 0.000 0.000 0.000
Cs: 0.000 0.000 0.500
Cu: 0.500 0.500 0.500
Cs: 0.000 0.500 0.000

***

(4)
Entry from the Alexandria database: a relaxed GaTe2PN crystal (PBE).

Properties
For the density of states at the Fermi level, the calculation gives 0.54 states/eV per atom. The space group is No. 123. The value obtained for the energy relative to the elements, uncorrected is 0.768 eV per atom.

Lattice parameters (Å, degrees): 5.218 3.743 5.218 90.00 90.00 90.00
Atoms (fractional coordinates):
Te: 0.500 0.000 0.000
Te: 0.000 0.000 0.500
P: 0.000 0.500 0.000
Ga: 0.500 0.500 0.500
N: 0.000 0.000 0.000

***

(5)
Entry from the Alexandria database: a relaxed BaCrCo3 crystal (PBE).

Properties
For the density of states at the Fermi level, the calculation gives 2.65 states/eV per atom. The space group is No. 221. The energy relative to the elements comes out at 2.79 eV/atom.

Lattice parameters (Å, degrees): 4.742 4.742 4.742 90.00 90.00 90.00
Atoms (fractional coordinates):
Ba: 0.000 0.000 0.000
Cr: 0.500 0.500 0.500
Co: 0.000 0.500 0.000
Co: 0.000 0.000 0.500
Co: 0.500 0.000 0.000

***

(6)
Entry from the Alexandria database: a relaxed BaS4O13 crystal (PBE).

Properties
For the density of states at the Fermi level, the calculation gives 0.00 states/eV per atom. The space group is No. 15. The value obtained for the energy relative to the elements, uncorrected is -1.498 eV per atom.

Lattice parameters (Å, degrees): 7.798 7.798 9.710 84.48 84.48 104.19
Atoms (fractional coordinates):
O: 0.076 0.500 0.324
O: 0.090 0.292 0.042
O: 0.596 0.707 0.035
O: 0.292 0.090 0.542
Ba: 0.803 0.197 0.250
S: 0.759 0.444 0.619
O: 0.447 0.223 0.310
O: 0.910 0.708 0.958
O: 0.881 0.864 0.650
S: 0.556 0.241 0.881
O: 0.119 0.136 0.350
O: 0.223 0.447 0.810
O: 0.597 0.403 0.750
O: 0.777 0.553 0.190
O: 0.705 0.266 0.959
O: 0.707 0.596 0.535
O: 0.404 0.293 0.965
O: 0.403 0.597 0.250
O: 0.734 0.295 0.541
Ba: 0.197 0.803 0.750
O: 0.266 0.705 0.459
O: 0.708 0.910 0.458
O: 0.293 0.404 0.465
O: 0.924 0.500 0.676
S: 0.820 0.714 0.093
O: 0.295 0.734 0.041
O: 0.500 0.924 0.176
S: 0.180 0.286 0.907
O: 0.136 0.119 0.850
O: 0.500 0.076 0.824
S: 0.714 0.820 0.593
O: 0.864 0.881 0.150
S: 0.286 0.180 0.407
O: 0.553 0.777 0.690
S: 0.444 0.759 0.119
S: 0.241 0.556 0.381

***

(7)
Entry from the Alexandria database: a relaxed CdMoPb3 crystal (PBE).

Properties
For the density of states at the Fermi level, the calculation gives 0.42 states/eV per atom. The space group is No. 221. The energy relative to the elements comes out at 1.24 eV/atom.

Lattice parameters (Å, degrees): 5.605 5.605 5.605 90.00 90.00 90.00
Atoms (fractional coordinates):
Pb: 0.000 0.500 0.000
Mo: 0.500 0.500 0.500
Pb: 0.000 0.000 0.500
Pb: 0.500 0.000 0.000
Cd: 0.000 0.000 0.000

***

(8)
Entry from the Alexandria database: a relaxed SrP4Os crystal (PBE).

Properties
For the density of states at the Fermi level, the calculation gives 0.85 states/eV per atom. The space group is No. 216. The energy relative to the elements comes out at 0.65 eV/atom.

Lattice parameters (Å, degrees): 5.393 5.393 5.393 60.00 60.00 60.00
Atoms (fractional coordinates):
P: 0.358 0.926 0.358
P: 0.358 0.358 0.926
P: 0.926 0.358 0.358
P: 0.358 0.358 0.358
Os: 0.000 0.000 0.000
Sr: 0.750 0.750 0.750

***

(9)
Entry from the Alexandria database: a relaxed NaReNi crystal (PBE).

Properties
For the density of states at the Fermi level, the calculation gives 1.23 states/eV per atom. The space group is No. 194. The energy relative to the elements comes out at 1.24 eV/atom.

Lattice parameters (Å, degrees): 3.916 3.916 9.676 90.00 90.00 120.00
Atoms (fractional coordinates):
Re: 0.667 0.333 0.750
Ni: 0.667 0.333 0.250
Na: 0.000 0.000 0.500
Re: 0.333 0.667 0.250
Na: 0.000 0.000 0.000
Ni: 0.333 0.667 0.750

***

(10)
Entry from the Alexandria database: a relaxed ZrReSi2 crystal (PBE).

Properties
For the density of states at the Fermi level, the calculation gives 0.40 states/eV per atom. The space group is No. 99. The value obtained for the energy relative to the elements, uncorrected is -0.413 eV per atom.

Lattice parameters (Å, degrees): 3.209 3.209 6.077 90.00 90.00 90.00
Atoms (fractional coordinates):
Si: 0.000 0.000 0.987
Re: 0.500 0.500 0.804
Zr: 0.000 0.000 0.492
Si: 0.500 0.500 0.217

***

(11)
Entry from the Alexandria database: a relaxed RbEu3 crystal (PBE).

Properties
For the density of states at the Fermi level, the calculation gives 9.95 states/eV per atom. The space group is No. 139. The energy relative to the elements comes out at 0.27 eV/atom.

Lattice parameters (Å, degrees): 7.411 7.411 7.411 133.28 133.28 68.21
Atoms (fractional coordinates):
Eu: 0.750 0.250 0.500
Eu: 0.250 0.750 0.500
Eu: 0.500 0.500 0.000
Rb: 0.000 0.000 0.000

***

(12)
Entry from the Alexandria database: a relaxed PrSmCdAu crystal (PBE).

Properties
For the density of states at the Fermi level, the calculation gives 0.83 states/eV per atom. The space group is No. 216. The energy relative to the elements comes out at -0.51 eV/atom.

Lattice parameters (Å, degrees): 5.339 5.339 5.339 60.00 60.00 60.00
Atoms (fractional coordinates):
Sm: 0.000 0.000 0.000
Cd: 0.750 0.750 0.750
Au: 0.250 0.250 0.250
Pr: 0.500 0.500 0.500

***

(13)
Entry from the Alexandria database: a relaxed BrCl3 crystal (PBE).

Properties
For the density of states at the Fermi level, the calculation gives 0.38 states/eV per atom. The space group is No. 139. The value obtained for the energy relative to the elements, uncorrected is 0.333 eV per atom.

Lattice parameters (Å, degrees): 8.848 8.848 8.848 155.18 155.18 35.39
Atoms (fractional coordinates):
Br: 0.000 0.000 0.000
Cl: 0.250 0.750 0.500
Cl: 0.500 0.500 0.000
Cl: 0.750 0.250 0.500

***

(14)
Entry from the Alexandria database: a relaxed Be2TcNF crystal (PBE).

Properties
For the density of states at the Fermi level, the calculation gives 0.53 states/eV per atom. The space group is No. 123. The value obtained for the energy relative to the elements, uncorrected is 1.355 eV per atom.

Lattice parameters (Å, degrees): 4.344 3.827 4.344 90.00 90.00 90.00
Atoms (fractional coordinates):
Be: 0.000 0.000 0.500
F: 0.000 0.500 0.000
Tc: 0.000 0.000 0.000
Be: 0.500 0.000 0.000
N: 0.500 0.500 0.500

***

(15)
Entry from the Alexandria database: a relaxed KCaCo2 crystal (PBE).

Properties
For the density of states at the Fermi level, the calculation gives 1.35 states/eV per atom. The space group is No. 10. The energy relative to the elements comes out at 0.69 eV/atom.

Lattice parameters (Å, degrees): 3.933 3.772 8.279 62.99 90.00 90.00
Atoms (fractional coordinates):
Co: 0.000 0.396 0.603
Ca: 0.500 0.750 0.750
K: 0.500 0.250 0.250
Co: 0.000 0.104 0.897

***

(16)
Entry from the Alexandria database: a relaxed Pm3GaHg crystal (PBE).

Properties
For the density of states at the Fermi level, the calculation gives 1.26 states/eV per atom. The space group is No. 63. The energy relative to the elements comes out at -0.38 eV/atom.

Lattice parameters (Å, degrees): 5.317 5.343 10.242 90.00 74.96 90.00
Atoms (fractional coordinates):
Pm: 0.077 0.750 0.494
Pm: 0.892 0.750 0.864
Pm: 0.571 0.250 0.506
Pm: 0.756 0.250 0.136
Hg: 0.670 0.750 0.308
Ga: 0.478 0.750 0.692
Pm: 0.265 0.750 0.119
Pm: 0.384 0.250 0.881
Ga: 0.170 0.250 0.308
Hg: 0.978 0.250 0.692

***

(17)
Entry from the Alexandria database: a relaxed MgVHAu2 crystal (PBE).

Properties
For the density of states at the Fermi level, the calculation gives 0.58 states/eV per atom. The space group is No. 123.

Lattice parameters (Å, degrees): 4.880 5.180 4.880 90.00 90.00 90.00
Atoms (fractional coordinates):
Au: 0.000 0.000 0.500
Mg: 0.000 0.000 0.000
Au: 0.500 0.000 0.000
V: 0.000 0.500 0.000
H: 0.500 0.500 0.500

***

(18)
Entry from the Alexandria database: a relaxed Sn3Sb12Pd5 crystal (PBE).

Properties
For the density of states at the Fermi level, the calculation gives 0.51 states/eV per atom. The space group is No. 230. The value obtained for the energy relative to the elements, uncorrected is 0.011 eV per atom.

Lattice parameters (Å, degrees): 14.322 14.322 14.322 109.47 109.47 109.47
Atoms (fractional coordinates):
Sb: 0.400 0.287 0.324
Sb: 0.076 0.176 0.463
Pd: 0.375 0.250 0.125
Pd: 0.250 0.875 0.125
Sb: 0.463 0.676 0.076
Pd: 0.375 0.125 0.750
Sb: 0.887 0.287 0.463
Sn: 0.375 0.750 0.625
Pd: 0.500 0.000 0.500
Pd: 0.000 0.500 0.500
Sb: 0.387 0.963 0.787
Sb: 0.424 0.387 0.600
Sb: 0.113 0.713 0.537
Sn: 0.250 0.625 0.875
Sb: 0.287 0.887 0.963
Sn: 0.875 0.125 0.250
Sb: 0.787 0.324 0.900
Sb: 0.537 0.324 0.924
Sb: 0.887 0.600 0.924
Sn: 0.750 0.875 0.625
Sn: 0.125 0.250 0.875
Pd: 0.000 0.500 0.000
Pd: 0.000 0.000 0.000
Sb: 0.924 0.824 0.537
Pd: 0.500 0.500 0.000
Sb: 0.100 0.924 0.387
Pd: 0.125 0.750 0.375
Sn: 0.250 0.125 0.375
Sb: 0.613 0.576 0.900
Sb: 0.900 0.076 0.613
Sb: 0.287 0.400 0.824
Sb: 0.824 0.924 0.037
Sb: 0.113 0.400 0.076
Pd: 0.750 0.625 0.375
Sb: 0.713 0.600 0.176
Sb: 0.787 0.463 0.387
Sn: 0.625 0.250 0.375
Pd: 0.125 0.375 0.250
Sb: 0.576 0.613 0.400
Sb: 0.324 0.537 0.424
Sb: 0.076 0.900 0.113
Sb: 0.037 0.424 0.824
Pd: 0.875 0.250 0.625
Sb: 0.100 0.176 0.213
Sb: 0.676 0.213 0.600
Sn: 0.125 0.875 0.750
Sb: 0.900 0.824 0.787
Sb: 0.400 0.113 0.576
Pd: 0.750 0.125 0.875
Pd: 0.500 0.500 0.500
Sb: 0.963 0.387 0.287
Sb: 0.600 0.713 0.676
Pd: 0.250 0.375 0.625
Sb: 0.537 0.213 0.113
Sb: 0.213 0.537 0.613
Sb: 0.613 0.037 0.213
Sb: 0.676 0.463 0.576
Sb: 0.424 0.037 0.324
Sb: 0.037 0.613 0.713
Sb: 0.324 0.787 0.400
Sb: 0.463 0.787 0.887
Sb: 0.824 0.900 0.287
Sb: 0.213 0.676 0.100
Sb: 0.600 0.887 0.424
Sb: 0.924 0.100 0.887
Sb: 0.176 0.076 0.963
Sb: 0.176 0.100 0.713
Sn: 0.875 0.750 0.125
Sb: 0.387 0.424 0.100
Sb: 0.576 0.963 0.676
Pd: 0.000 0.000 0.500
Sn: 0.375 0.625 0.250
Pd: 0.875 0.625 0.750
Pd: 0.500 0.000 0.000
Pd: 0.625 0.875 0.250
Sb: 0.713 0.113 0.037
Pd: 0.625 0.750 0.875
Sb: 0.963 0.576 0.176
Sn: 0.750 0.375 0.125
Sn: 0.625 0.375 0.750

***

(19)
Entry from the Alexandria database: a relaxed BiTe2As2 crystal (PBE).

Properties
For the density of states at the Fermi level, the calculation gives 0.43 states/eV per atom. The space group is No. 127. The value obtained for the energy relative to the elements, uncorrected is 0.166 eV per atom.

Lattice parameters (Å, degrees): 8.681 8.681 3.783 90.00 90.00 90.00
Atoms (fractional coordinates):
Te: 0.644 0.856 0.500
Bi: 0.500 0.500 0.000
Bi: 0.000 0.000 0.000
As: 0.200 0.300 0.000
Te: 0.356 0.144 0.500
As: 0.300 0.800 0.000
Te: 0.144 0.644 0.500
As: 0.700 0.200 0.000
Te: 0.856 0.356 0.500
As: 0.800 0.700 0.000

***

(20)
Entry from the Alexandria database: a relaxed AlSe2Br crystal (PBE).

Properties
For the density of states at the Fermi level, the calculation gives 0.01 states/eV per atom. The space group is No. 12. The value obtained for the energy relative to the elements, uncorrected is -0.298 eV per atom.

Lattice parameters (Å, degrees): 5.737 5.737 5.744 82.27 82.27 36.60
Atoms (fractional coordinates):
Se: 0.102 0.102 0.911
Al: 0.750 0.750 0.750
Br: 0.250 0.250 0.250
Se: 0.398 0.398 0.589

***

(21)
Entry from the Alexandria database: a relaxed LaAl2Pd3 crystal (PBE).

Properties
For the density of states at the Fermi level, the calculation gives 0.46 states/eV per atom. The space group is No. 63. The energy relative to the elements comes out at -0.88 eV/atom.

Lattice parameters (Å, degrees): 5.457 6.558 6.558 101.78 90.00 90.00
Atoms (fractional coordinates):
La: 0.750 0.685 0.685
Pd: 0.750 0.039 0.039
Pd: 0.250 0.961 0.961
Al: 0.000 0.785 0.215
La: 0.250 0.315 0.315
Al: 0.500 0.785 0.215
Pd: 0.250 0.893 0.537
Al: 0.500 0.215 0.785
Pd: 0.250 0.537 0.893
Pd: 0.750 0.463 0.107
Pd: 0.750 0.107 0.463
Al: 0.000 0.215 0.785

***

(22)
Entry from the Alexandria database: a relaxed KNbP2O crystal (PBE).

Properties
For the density of states at the Fermi level, the calculation gives 1.37 states/eV per atom. The space group is No. 123. The value obtained for the energy relative to the elements, uncorrected is 1.690 eV per atom.

Lattice parameters (Å, degrees): 4.999 4.999 3.889 90.00 90.00 90.00
Atoms (fractional coordinates):
O: 0.000 0.000 0.500
Nb: 0.500 0.500 0.500
P: 0.500 0.000 0.000
K: 0.000 0.000 0.000
P: 0.000 0.500 0.000

***

Going through the records in order, we get mass density values of 4.147, 3.727, 3.766, 6.028, 5.703, 2.782, 7.827, 6.014, 6.922, 8.850, 4.241, 9.268, 2.537, 3.427, 2.990, 8.337, 6.328, 6.901, 7.154, 3.941, 7.404, 3.588 g cm⁻³.
Going through the records in order, we get total DFT energy (no corrections) values of -2.349, -3.482, -2.309, -3.841, -3.778, -6.103, -3.334, -5.107, -5.280, -8.373, -7.682, -3.931, -1.470, -4.248, -3.642, -3.893, -2.811, -4.361, -3.727, -3.395, -5.540, -3.699 eV/atom.
Going through the records in order, we get M_tot values of 0.0, 2.8, 0.0, 0.0, 2.8, 0.0, 4.4, 2.1, 1.2, 0.0, 7.5, 0.0, 0.0, 1.2, 3.3, 0.0, 3.4, 0.0, 0.0, 0.0, 0.0, 0.0 μB/cell.